Entry 1:
A relaxed Pm5Th crystal. Source: Alexandria via LeMat-Bulk, functional PBE.

Properties
For the energy of formation from the pure elements, the calculation gives 0.136 eV per formula unit. The value obtained for the relative energy among the computed polymorphs is 0 meV/atom. The crystal system is trigonal. The total energy is -5.17 eV/atom. Its symmetry is P-3m1, No. 164. The density of states at the Fermi level is 9.47 states/eV per cell.

Cell: 3.636 3.636 17.854 Å, 90.00 90.00 120.00°
Positions (direct):
Pm1 0.000 0.000 0.000
Pm2 0.333 0.667 0.166
Pm3 0.333 0.667 0.661
Pm4 0.667 0.333 0.339
Pm5 0.667 0.333 0.834
Th1 0.000 0.000 0.500

---

Entry 2:
A relaxed PmTh2 crystal. Source: Alexandria via LeMat-Bulk, functional PBE.

Properties
For the energy of formation from the pure elements, the calculation gives 0.788 eV per formula unit. The value obtained for the relative energy among the computed polymorphs is 228 meV/atom. The crystal system is cubic. The total energy is -6.27 eV/atom. Its symmetry is Fd-3m, No. 227. The density of states at the Fermi level is 13.06 states/eV per cell.

Cell: 6.667 6.667 6.667 Å, 60.00 60.00 60.00°
Positions (direct):
Pm1 0.125 0.125 0.125
Pm2 0.875 0.875 0.875
Th1 0.000 0.500 0.500
Th2 0.500 0.000 0.500
Th3 0.500 0.500 0.000
Th4 0.500 0.500 0.500

---

Entry 3:
A relaxed Pm3Th8 crystal. Source: Alexandria via LeMat-Bulk, functional PBE.

Properties
For the energy of formation from the pure elements, the calculation gives 0.321 eV per formula unit. The crystal system is trigonal. The total energy is -6.66 eV/atom. Its symmetry is R-3m, No. 166. The density of states at the Fermi level is 17.24 states/eV per cell.

Cell: 32.277 32.277 32.277 Å, 6.37 6.37 6.37°
Positions (direct):
Pm1 0.000 0.000 0.000
Pm2 0.273 0.273 0.273
Pm3 0.727 0.727 0.727
Th1 0.092 0.092 0.092
Th2 0.182 0.182 0.182
Th3 0.364 0.364 0.364
Th4 0.455 0.455 0.455
Th5 0.545 0.545 0.545
Th6 0.636 0.636 0.636
Th7 0.818 0.818 0.818
Th8 0.908 0.908 0.908

---

Entry 4:
A relaxed Pm3Th2 crystal. Source: Alexandria via LeMat-Bulk, functional PBE.

Properties
For the energy of formation from the pure elements, the calculation gives 0.114 eV per formula unit. The crystal system is trigonal. The total energy is -5.80 eV/atom. Its symmetry is R-3m, No. 166. The density of states at the Fermi level is 23.15 states/eV per cell.

Cell: 3.618 3.618 44.332 Å, 90.00 90.00 120.00°
Positions (direct):
Pm1 0.000 0.000 0.000
Pm2 0.000 0.000 0.402
Pm3 0.000 0.000 0.598
Pm4 0.333 0.667 0.069
Pm5 0.333 0.667 0.265
Pm6 0.333 0.667 0.667
Pm7 0.667 0.333 0.333
Pm8 0.667 0.333 0.735
Pm9 0.667 0.333 0.931
Th1 0.000 0.000 0.199
Th2 0.000 0.000 0.801
Th3 0.333 0.667 0.468
Th4 0.333 0.667 0.865
Th5 0.667 0.333 0.135
Th6 0.667 0.333 0.532